## In2SbW (SCAN)

Data for a crystal of In2SbW relaxed with PBEsol.

## Properties
For the volume, the calculation gives 20.5 Å³/atom. The calculation puts the density at 10.856 g/cm3. The value obtained for the formation energy (no corrections) is 0.7029 eV per atom. The value obtained for the total energy is -42.7275 eV/atom. As for the space group: P4/mmm (123).

a b c (Å): 3.7722 3.7722 5.7536
angles (deg): 90.00 90.00 90.00
Element x y z (fractional)
In 0.0000 0.0000 0.2367
In 0.0000 0.0000 0.7633
Sb 0.5000 0.5000 0.5000
W 0.5000 0.5000 0.0000

---

## Mg4ScMo (SCAN)

Data for a crystal of Mg4ScMo relaxed with PBEsol.

## Properties
For the volume, the calculation gives 20.1 Å³/atom. The calculation puts the density at 3.277 g/cm3. The value obtained for the total energy is -11.1721 eV/atom. The value obtained for the formation energy is 1.98 eV/f.u. As for the space group: F-43m (216).

a b c (Å): 5.5464 5.5464 5.5464
angles (deg): 60.00 60.00 60.00
Element x y z (fractional)
Mg 0.3757 0.3757 0.3757
Mg 0.3757 0.3757 0.8728
Mg 0.3757 0.8728 0.3757
Mg 0.8728 0.3757 0.3757
Sc 0.0000 0.0000 0.0000
Mo 0.7500 0.7500 0.7500

---

The highest volume belongs to which entry? In2SbW

---

volume of number 1 (In2SbW)? 20.5 Å³/atom